# 1
Zr2NbZn, relaxed, DFT PBE; space-group type = F-43m (216); calculated volume = 19.36 Å³/atom; energy relative to the elements = 0.10 eV per atom; E_tot = -7.01 eV/atom
1.0
0.0000 3.3831 3.3831
3.3831 0.0000 3.3831
3.3831 3.3831 0.0000
Nb Zn Zr
1 1 2
Cartesian
1.6915 1.6915 1.6915
3.3831 3.3831 3.3831
0.0000 0.0000 0.0000
5.0747 5.0747 5.0747

***

# 2
Zr2Nb2Zn, relaxed, DFT PBE; space-group type = I4/mmm (139); calculated volume = 21.42 Å³/atom; energy relative to the elements = 0.74 eV per atom; E_tot = -6.97 eV/atom
1.0
-1.9595 1.9595 6.9734
1.9595 -1.9595 6.9734
1.9595 1.9595 -6.9734
Nb Zn Zr
2 1 2
Cartesian
0.0000 0.0000 5.8190
0.0000 0.0000 8.1278
0.0000 0.0000 0.0000
0.0000 1.9595 3.4867
1.9595 0.0000 3.4867